A plane-wave DFT calculation with PBE was carried out for a relaxed structure of RePRh2F.

```
data_RePRh2F
_chemical_formula_sum 'Re1 P1 Rh2 F1'
_space_group_name_H-M_alt 'P 4/m m m'
_space_group_IT_number 123
_space_group_name_Hall '-P 4 2'
_cell_length_a 4.489
_cell_length_b 4.489
_cell_length_c 3.797
_cell_angle_alpha 90.00
_cell_angle_beta 90.00
_cell_angle_gamma 90.00
loop_
_atom_site_label
_atom_site_fract_x
_atom_site_fract_y
_atom_site_fract_z
Re1 0.000 0.000 0.000
P1 0.500 0.500 0.500
Rh1 0.000 0.500 0.500
F1 0.500 0.500 0.000
```

## Properties
- ΔE_f (raw): 8.69 kcal/mol of atoms

=====

A plane-wave DFT calculation with PBE was carried out for a relaxed structure of Re2PRuF.

```
data_Re2PRuF
_chemical_formula_sum 'Re2 P1 Ru1 F1'
_space_group_name_H-M_alt 'P 4/m m m'
_space_group_IT_number 123
_space_group_name_Hall '-P 4 2'
_cell_length_a 4.583
_cell_length_b 4.583
_cell_length_c 3.536
_cell_angle_alpha 90.00
_cell_angle_beta 90.00
_cell_angle_gamma 90.00
loop_
_atom_site_label
_atom_site_fract_x
_atom_site_fract_y
_atom_site_fract_z
Re1 0.000 0.500 0.000
P1 0.000 0.000 0.000
Ru1 0.500 0.500 0.500
F1 0.000 0.000 0.500
```

## Properties
- ΔE_f (raw): 19.37 kcal/mol of atoms

=====

A plane-wave DFT calculation with PBE was carried out for a relaxed structure of RePS2F.

```
data_RePS2F
_chemical_formula_sum 'Re1 P1 S2 F1'
_space_group_name_H-M_alt 'P 4/m m m'
_space_group_IT_number 123
_space_group_name_Hall '-P 4 2'
_cell_length_a 4.578
_cell_length_b 4.578
_cell_length_c 3.631
_cell_angle_alpha 90.00
_cell_angle_beta 90.00
_cell_angle_gamma 90.00
loop_
_atom_site_label
_atom_site_fract_x
_atom_site_fract_y
_atom_site_fract_z
Re1 0.000 0.000 0.000
P1 0.500 0.500 0.000
S1 0.000 0.500 0.500
F1 0.500 0.500 0.500
```

## Properties
- Energy above the most stable polymorph in this dataset: 5.332 eV/f.u.
- ΔE_f (raw): 28.81 kcal/mol of atoms

=====

A plane-wave DFT calculation with PBE was carried out for a relaxed structure of RePS2F.

```
data_RePS2F
_chemical_formula_sum 'Re1 P1 S2 F1'
_space_group_name_H-M_alt 'P 4/m m m'
_space_group_IT_number 123
_space_group_name_Hall '-P 4 2'
_cell_length_a 4.524
_cell_length_b 4.524
_cell_length_c 4.708
_cell_angle_alpha 90.00
_cell_angle_beta 90.00
_cell_angle_gamma 90.00
loop_
_atom_site_label
_atom_site_fract_x
_atom_site_fract_y
_atom_site_fract_z
Re1 0.000 0.000 0.000
P1 0.000 0.000 0.500
S1 0.000 0.500 0.000
F1 0.500 0.500 0.500
```

## Properties
- Energy above the most stable polymorph in this dataset: 0.000 eV/f.u.
- ΔE_f (raw): 4.21 kcal/mol of atoms

=====

A plane-wave DFT calculation with PBE was carried out for a relaxed structure of TiRePF2.

```
data_TiRePF2
_chemical_formula_sum 'Ti1 Re1 P1 F2'
_space_group_name_H-M_alt 'P 4/m m m'
_space_group_IT_number 123
_space_group_name_Hall '-P 4 2'
_cell_length_a 3.854
_cell_length_b 3.854
_cell_length_c 5.413
_cell_angle_alpha 90.00
_cell_angle_beta 90.00
_cell_angle_gamma 90.00
loop_
_atom_site_label
_atom_site_fract_x
_atom_site_fract_y
_atom_site_fract_z
Ti1 0.000 0.000 0.000
Re1 0.000 0.000 0.500
P1 0.500 0.500 0.000
F1 0.000 0.500 0.500
```

## Properties
- ΔE_f (raw): -12.12 kcal/mol of atoms

=====

A plane-wave DFT calculation with PBE was carried out for a relaxed structure of PRhF2.

```
data_PRhF2
_chemical_formula_sum 'P3 Rh3 F6'
_space_group_name_H-M_alt 'R -3 m'
_space_group_IT_number 166
_space_group_name_Hall '-R 3 2"'
_cell_length_a 2.6922
_cell_length_b 2.6922
_cell_length_c 23.5131
_cell_angle_alpha 90.00
_cell_angle_beta 90.00
_cell_angle_gamma 120.00
loop_
_atom_site_label
_atom_site_fract_x
_atom_site_fract_y
_atom_site_fract_z
P1 0.0000 0.0000 0.0000
Rh1 0.0000 0.0000 0.5000
F1 0.0000 0.0000 0.4140
```

## Properties
- Energy above the most stable polymorph in this dataset: 0.767 eV/f.u.
- ΔE_f (raw): -12.08 kcal/mol of atoms

=====

A plane-wave DFT calculation with PBE was carried out for a relaxed structure of P2Rh4F.

```
data_P2Rh4F
_chemical_formula_sum 'P4 Rh8 F2'
_space_group_name_H-M_alt 'I 4/m m m'
_space_group_IT_number 139
_space_group_name_Hall '-I 4 2'
_cell_length_a 4.218
_cell_length_b 4.218
_cell_length_c 12.043
_cell_angle_alpha 90.00
_cell_angle_beta 90.00
_cell_angle_gamma 90.00
loop_
_atom_site_label
_atom_site_fract_x
_atom_site_fract_y
_atom_site_fract_z
P1 0.000 0.000 0.112
Rh1 0.000 0.000 0.288
Rh2 0.000 0.500 0.000
F1 0.000 0.000 0.500
```

## Properties
- ΔE_f (raw): 2.19 kcal/mol of atoms

=====

A plane-wave DFT calculation with PBE was carried out for a relaxed structure of PRh2F.

```
data_PRh2F
_chemical_formula_sum 'P4 Rh8 F4'
_space_group_name_H-M_alt 'F m -3 m'
_space_group_IT_number 225
_space_group_name_Hall '-F 4 2 3'
_cell_length_a 5.785
_cell_length_b 5.785
_cell_length_c 5.785
_cell_angle_alpha 90.00
_cell_angle_beta 90.00
_cell_angle_gamma 90.00
loop_
_atom_site_label
_atom_site_fract_x
_atom_site_fract_y
_atom_site_fract_z
P1 0.000 0.000 0.000
Rh1 0.250 0.250 0.250
F1 0.000 0.000 0.500
```

## Properties
- Energy above the most stable polymorph in this dataset: 0.000 eV/f.u.
- ΔE_f (raw): -13.80 kcal/mol of atoms

=====

A plane-wave DFT calculation with PBE was carried out for a relaxed structure of PRhF2.

```
data_PRhF2
_chemical_formula_sum 'P4 Rh4 F8'
_space_group_name_H-M_alt 'F m -3 m'
_space_group_IT_number 225
_space_group_name_Hall '-F 4 2 3'
_cell_length_a 5.822
_cell_length_b 5.822
_cell_length_c 5.822
_cell_angle_alpha 90.00
_cell_angle_beta 90.00
_cell_angle_gamma 90.00
loop_
_atom_site_label
_atom_site_fract_x
_atom_site_fract_y
_atom_site_fract_z
P1 0.000 0.000 0.000
Rh1 0.000 0.000 0.500
F1 0.250 0.250 0.250
```

## Properties
- Energy above the most stable polymorph in this dataset: 2.930 eV/f.u.
- ΔE_f (raw): 0.38 kcal/mol of atoms

=====

A plane-wave DFT calculation with PBE was carried out for a relaxed structure of PRh2F.

```
data_PRh2F
_chemical_formula_sum 'P4 Rh8 F4'
_space_group_name_H-M_alt 'I -4 2 d'
_space_group_IT_number 122
_space_group_name_Hall 'I -4 2bw'
_cell_length_a 6.148
_cell_length_b 6.148
_cell_length_c 6.035
_cell_angle_alpha 90.00
_cell_angle_beta 90.00
_cell_angle_gamma 90.00
loop_
_atom_site_label
_atom_site_fract_x
_atom_site_fract_y
_atom_site_fract_z
P1 0.000 0.000 0.000
Rh1 0.226 0.250 0.125
F1 0.000 0.000 0.500
```

## Properties
- Energy above the most stable polymorph in this dataset: 0.448 eV/f.u.
- ΔE_f (raw): -11.22 kcal/mol of atoms

=====

A plane-wave DFT calculation with PBE was carried out for a relaxed structure of PRhF2.

```
data_PRhF2
_chemical_formula_sum 'P3 Rh3 F6'
_space_group_name_H-M_alt 'R -3 m'
_space_group_IT_number 166
_space_group_name_Hall '-R 3 2"'
_cell_length_a 2.6403
_cell_length_b 2.6403
_cell_length_c 28.3615
_cell_angle_alpha 90.00
_cell_angle_beta 90.00
_cell_angle_gamma 120.00
loop_
_atom_site_label
_atom_site_fract_x
_atom_site_fract_y
_atom_site_fract_z
P1 0.0000 0.0000 0.0000
Rh1 0.0000 0.0000 0.5000
F1 0.0000 0.0000 0.0586
```

## Properties
- Energy above the most stable polymorph in this dataset: 0.000 eV/f.u.
- ΔE_f (raw): -16.51 kcal/mol of atoms

=====

A plane-wave DFT calculation with PBE was carried out for a relaxed structure of PRhF3.

```
data_PRhF3
_chemical_formula_sum 'P1 Rh1 F3'
_space_group_name_H-M_alt 'P m -3 m'
_space_group_IT_number 221
_space_group_name_Hall '-P 4 2 3'
_cell_length_a 4.208
_cell_length_b 4.208
_cell_length_c 4.208
_cell_angle_alpha 90.00
_cell_angle_beta 90.00
_cell_angle_gamma 90.00
loop_
_atom_site_label
_atom_site_fract_x
_atom_site_fract_y
_atom_site_fract_z
P1 0.000 0.000 0.000
Rh1 0.500 0.500 0.500
F1 0.000 0.500 0.500
```

## Properties
- ΔE_f (raw): -7.63 kcal/mol of atoms